No. 1
Here is crystalline AlMoAs2 at its relaxed geometry from the Alexandria database. Energies are from PBE. Values from VASP.

Output
energy relative to the elements	0.221	eV/atom
space group	Cmmm, No. 65
V	70.2	Å³ per cell
M_tot	0.000	μB per atom

Structure (Quantum ESPRESSO input):
```
&SYSTEM
  ibrav = 0, nat = 4, ntyp = 3
/
ATOMIC_SPECIES
Al 26.98 Al.upf
Mo 95.94 Mo.upf
As 74.92 As.upf
ATOMIC_POSITIONS crystal
Al 0.000 0.000 0.000
Mo 0.000 0.000 0.500
As 0.500 0.500 0.262
As 0.500 0.500 0.738
CELL_PARAMETERS angstrom
1.705 -2.577 0.000
1.705 2.577 0.000
0.000 0.000 7.989
```

=====

No. 2
Here is crystalline AcNi2Ge2 at its relaxed geometry from the Alexandria database. Energies are from PBE. Values from VASP.

Output
energy relative to the elements	-0.525	eV/atom
space group	Fmmm, No. 69
V	93.3	Å³ per cell
M_tot	0.000	μB per atom
energy above the most stable polymorph in this dataset	47	kJ/mol of formula units

Structure (Quantum ESPRESSO input):
```
&SYSTEM
  ibrav = 0, nat = 5, ntyp = 3
/
ATOMIC_SPECIES
Ac 227.00 Ac.upf
Ni 58.69 Ni.upf
Ge 72.64 Ge.upf
ATOMIC_POSITIONS crystal
Ac 0.000 0.000 0.000
Ni 0.369 0.369 0.631
Ni 0.631 0.631 0.369
Ge 0.250 0.250 0.250
Ge 0.750 0.750 0.750
CELL_PARAMETERS angstrom
0.000 3.029 5.092
3.025 0.000 5.092
3.025 3.029 0.000
```

=====

No. 3
Here is crystalline BaAc4Pt4 at its relaxed geometry from the Alexandria database. Energies are from PBE. Values from VASP.

Output
energy relative to the elements	-1.038	eV/atom
space group	C2/m, No. 12
V	310.0	Å³ per cell
M_tot	0.000	μB per atom

Structure (Quantum ESPRESSO input):
```
&SYSTEM
  ibrav = 0, nat = 9, ntyp = 3
/
ATOMIC_SPECIES
Ba 137.33 Ba.upf
Ac 227.00 Ac.upf
Pt 195.08 Pt.upf
ATOMIC_POSITIONS crystal
Ba 0.000 0.000 0.000
Ac 0.180 0.180 0.788
Ac 0.391 0.391 0.571
Ac 0.609 0.609 0.429
Ac 0.820 0.820 0.212
Pt 0.112 0.112 0.421
Pt 0.310 0.310 0.198
Pt 0.690 0.690 0.802
Pt 0.888 0.888 0.579
CELL_PARAMETERS angstrom
7.088 -3.085 0.000
7.088 3.085 0.000
-7.083 0.000 7.090
```

=====

No. 4
Here is crystalline Sc2CoB2Rh5 at its relaxed geometry from the Alexandria database. Energies are from PBE. Values from VASP.

Output
energy relative to the elements	-0.675	eV/atom
space group	P4/mbm, No. 127
V	265.4	Å³ per cell
M_tot	0.282	μB per atom

Structure (Quantum ESPRESSO input):
```
&SYSTEM
  ibrav = 0, nat = 20, ntyp = 4
/
ATOMIC_SPECIES
Sc 44.96 Sc.upf
Co 58.93 Co.upf
B 10.81 B.upf
Rh 102.91 Rh.upf
ATOMIC_POSITIONS crystal
Sc 0.175 0.325 0.000
Sc 0.325 0.825 0.000
Sc 0.675 0.175 0.000
Sc 0.825 0.675 0.000
Co 0.000 0.000 0.000
Co 0.500 0.500 0.000
B 0.126 0.626 0.000
B 0.374 0.126 0.000
B 0.626 0.874 0.000
B 0.874 0.374 0.000
Rh 0.000 0.500 0.500
Rh 0.071 0.784 0.500
Rh 0.216 0.071 0.500
Rh 0.284 0.571 0.500
Rh 0.429 0.284 0.500
Rh 0.500 0.000 0.500
Rh 0.571 0.716 0.500
Rh 0.716 0.429 0.500
Rh 0.784 0.929 0.500
Rh 0.929 0.216 0.500
CELL_PARAMETERS angstrom
9.281 0.000 0.000
0.000 9.281 0.000
0.000 0.000 3.081
```

=====

No. 5
Here is crystalline LaMnCuP2 at its relaxed geometry from the Alexandria database. Energies are from PBE. Values from VASP.

Output
energy relative to the elements	-0.780	eV/atom
space group	I-4m2, No. 119
V	86.5	Å³ per cell
M_tot	0.651	μB per atom

Structure (Quantum ESPRESSO input):
```
&SYSTEM
  ibrav = 0, nat = 5, ntyp = 4
/
ATOMIC_SPECIES
La 138.91 La.upf
Mn 54.94 Mn.upf
Cu 63.55 Cu.upf
P 30.97 P.upf
ATOMIC_POSITIONS crystal
La 0.000 0.000 0.000
Mn 0.750 0.250 0.500
Cu 0.250 0.750 0.500
P 0.367 0.367 0.000
P 0.633 0.633 0.000
CELL_PARAMETERS angstrom
-1.949 1.949 5.690
1.949 -1.949 5.690
1.949 1.949 -5.690
```

=====

No. 6
Here is crystalline Cs3Al2BiO6 at its relaxed geometry from the Alexandria database. Energies are from PBE. Values from VASP.

Output
E_form (uncorrected)	-1.859	eV/atom
space group	P-3m1, No. 164
V	265.6	Å³ per cell
M_tot	0.000	μB per atom

Structure (Quantum ESPRESSO input):
```
&SYSTEM
  ibrav = 0, nat = 12, ntyp = 4
/
ATOMIC_SPECIES
Cs 132.91 Cs.upf
Al 26.98 Al.upf
Bi 208.98 Bi.upf
O 16.00 O.upf
ATOMIC_POSITIONS crystal
Cs 0.000 0.000 0.000
Cs 0.333 0.667 0.757
Cs 0.667 0.333 0.243
Al 0.333 0.667 0.317
Al 0.667 0.333 0.683
Bi 0.000 0.000 0.500
O 0.175 0.350 0.311
O 0.175 0.825 0.311
O 0.350 0.175 0.689
O 0.650 0.825 0.311
O 0.825 0.175 0.689
O 0.825 0.650 0.689
CELL_PARAMETERS angstrom
6.266 0.000 0.000
-3.133 5.427 0.000
0.000 0.000 7.811
```

=====

No. 7
Here is crystalline KNaCd at its relaxed geometry from the Alexandria database. Energies are from PBE. Values from VASP.

Output
energy relative to the elements	-0.029	eV/atom
space group	Cc, No. 9
V	231.3	Å³ per cell
M_tot	0.000	μB per atom
energy above the most stable polymorph in this dataset	5	kJ/mol of formula units

Structure (Quantum ESPRESSO input):
```
&SYSTEM
  ibrav = 0, nat = 6, ntyp = 3
/
ATOMIC_SPECIES
K 39.10 K.upf
Na 22.99 Na.upf
Cd 112.41 Cd.upf
ATOMIC_POSITIONS crystal
K 0.188 0.812 0.500
K 0.812 0.188 0.000
Na 0.562 0.799 0.180
Na 0.799 0.562 0.680
Cd 0.266 0.382 0.824
Cd 0.382 0.266 0.324
CELL_PARAMETERS angstrom
5.264 -4.682 0.000
5.264 4.682 0.000
-2.862 0.000 4.693
```

=====

No. 8
Here is crystalline NiAgBPd2 at its relaxed geometry from the Alexandria database. Energies are from PBE. Values from VASP.

Output
energy relative to the elements	-0.066	eV/atom
space group	P4/mmm, No. 123
V	69.1	Å³ per cell
M_tot	0.000	μB per atom

Structure (Quantum ESPRESSO input):
```
&SYSTEM
  ibrav = 0, nat = 5, ntyp = 4
/
ATOMIC_SPECIES
Ni 58.69 Ni.upf
Ag 107.87 Ag.upf
B 10.81 B.upf
Pd 106.42 Pd.upf
ATOMIC_POSITIONS crystal
Ni 0.000 0.000 0.000
Ag 0.500 0.500 0.000
B 0.000 0.000 0.500
Pd 0.000 0.500 0.500
Pd 0.500 0.000 0.500
CELL_PARAMETERS angstrom
4.196 0.000 0.000
0.000 4.196 0.000
0.000 0.000 3.924
```